## MgNpGeO6 (PBE)

Data for an optimized crystal structure of MgNpGeO6.

Unit cell a=5.203 b=5.203 c=9.178 alpha=90.00 beta=90.00 gamma=120.00
Fractional coordinates of all 18 atoms:
Mg  0.000  0.000  0.000
Mg  0.000  0.000  0.500
Np  0.667  0.333  0.250
Np  0.333  0.667  0.750
Ge  0.333  0.667  0.250
Ge  0.667  0.333  0.750
O  0.643  0.665  0.134
O  0.022  0.357  0.134
O  0.357  0.022  0.634
O  0.978  0.643  0.866
O  0.335  0.357  0.366
O  0.022  0.665  0.366
O  0.665  0.022  0.866
O  0.643  0.978  0.366
O  0.978  0.335  0.634
O  0.335  0.978  0.134
O  0.665  0.643  0.634
O  0.357  0.335  0.866

Results
- energy relative to the elements, uncorrected (eV/atom) = -2.259
- E_tot (eV per atom) = -7.69
- V (Å³ per cell) = 215
- ρ (g/cm3) = 6.63

=====

## Ce3PrTh3Se8 (PBE)

Data for an optimized crystal structure of Ce3PrTh3Se8.

Unit cell a=8.371 b=8.370 c=8.371 alpha=120.00 beta=90.00 gamma=120.00
Fractional coordinates of all 15 atoms:
Ce  0.000  0.000  0.000
Ce  0.000  0.500  0.000
Ce  0.500  0.500  0.000
Pr  0.000  0.000  0.500
Th  0.500  0.000  0.500
Th  0.500  0.500  0.500
Th  0.000  0.500  0.500
Se  0.249  0.498  0.247
Se  0.751  0.502  0.753
Se  0.742  0.485  0.242
Se  0.258  0.515  0.758
Se  0.742  0.000  0.242
Se  0.258  0.000  0.758
Se  0.257  0.000  0.242
Se  0.743  0.000  0.758

Results
- energy relative to the elements, uncorrected (eV/atom) = -1.745
- E_tot (eV per atom) = -6.59
- V (Å³ per cell) = 415
- ρ (g/cm3) = 7.56

=====

## TbMg5Tl6 (PBE)

Data for an optimized crystal structure of TbMg5Tl6.

Unit cell a=5.138 b=7.345 c=9.245 alpha=113.98 beta=107.06 gamma=90.25
Fractional coordinates of all 12 atoms:
Mg  0.666  0.166  0.332
Mg  0.333  0.331  0.658
Mg  0.000  0.500  0.000
Mg  0.667  0.669  0.342
Mg  0.334  0.834  0.668
Tb  0.000  0.000  0.000
Tl  0.833  0.577  0.662
Tl  0.832  0.088  0.662
Tl  0.501  0.736  0.004
Tl  0.499  0.264  0.996
Tl  0.168  0.912  0.338
Tl  0.167  0.423  0.338

Results
- calculated formation energy (eV per atom) = -0.112
- E_tot (eV per atom) = -2.35
- V (Å³ per cell) = 302
- ρ (g/cm3) = 8.29

=====

## LaCdSe2N (PBE)

Data for an optimized crystal structure of LaCdSe2N.

Unit cell a=5.334 b=5.334 c=4.223 alpha=90.00 beta=90.00 gamma=90.00
Fractional coordinates of all 5 atoms:
N  0.000  0.000  0.500
Cd  0.000  0.000  0.000
Se  0.000  0.500  0.000
Se  0.500  0.000  0.000
La  0.500  0.500  0.500

Results
- energy relative to the elements, uncorrected (eV/atom) = -0.123
- E_tot (eV per atom) = -4.35
- V (Å³ per cell) = 120
- ρ (g/cm3) = 5.85

=====

## PrNdTmZn (PBE)

Data for an optimized crystal structure of PrNdTmZn.

Unit cell a=5.445 b=5.445 c=5.445 alpha=60.00 beta=60.00 gamma=60.00
Fractional coordinates of all 4 atoms:
Pr  0.250  0.250  0.250
Zn  0.000  0.000  0.000
Tm  0.500  0.500  0.500
Nd  0.750  0.750  0.750

Results
- calculated formation energy (eV per atom) = 0.012
- E_tot (eV per atom) = -3.81
- V (Å³ per cell) = 114
- ρ (g/cm3) = 7.56

=====

## LiZr2ScP (PBE)

Data for an optimized crystal structure of LiZr2ScP.

Unit cell a=5.015 b=4.282 c=5.015 alpha=90.00 beta=90.00 gamma=90.00
Fractional coordinates of all 5 atoms:
Sc  0.000  0.000  0.000
P  0.500  0.500  0.500
Zr  0.000  0.000  0.500
Zr  0.500  0.000  0.000
Li  0.000  0.500  0.000

Results
- calculated formation energy (eV per atom) = 1.103
- E_tot (eV per atom) = -5.05
- V (Å³ per cell) = 108
- ρ (g/cm3) = 4.09

=====

## K3BF6 (PBE)

Data for an optimized crystal structure of K3BF6.

Unit cell a=6.520 b=7.713 c=7.713 alpha=92.95 beta=90.00 gamma=90.00
Fractional coordinates of all 20 atoms:
K  0.501  0.908  0.674
K  0.001  0.674  0.908
K  0.546  0.427  0.573
K  0.046  0.573  0.427
K  0.001  0.092  0.326
K  0.501  0.326  0.092
B  0.977  0.160  0.840
B  0.477  0.840  0.160
F  0.280  0.648  0.688
F  0.780  0.688  0.648
F  0.082  0.308  0.910
F  0.582  0.910  0.308
F  0.963  0.033  0.967
F  0.773  0.208  0.792
F  0.273  0.792  0.208
F  0.463  0.967  0.033
F  0.082  0.090  0.692
F  0.582  0.692  0.090
F  0.280  0.312  0.352
F  0.780  0.352  0.312

Results
- energy relative to the elements, uncorrected (eV/atom) = -2.851
- E_tot (eV per atom) = -4.97
- V (Å³ per cell) = 387
- ρ (g/cm3) = 2.08

=====

## CaCeH (PBE)

Data for an optimized crystal structure of CaCeH.

Unit cell a=3.569 b=3.569 c=6.210 alpha=90.00 beta=90.00 gamma=120.00
Fractional coordinates of all 3 atoms:
H  0.333  0.667  0.659
Ca  0.000  0.000  0.910
Ce  0.667  0.333  0.431

Results
- E_tot (eV per atom) = -3.85
- V (Å³ per cell) = 68
- ρ (g/cm3) = 4.39

=====

## CrFePb2 (PBE)

Data for an optimized crystal structure of CrFePb2.

Unit cell a=3.134 b=3.134 c=8.414 alpha=90.00 beta=90.00 gamma=90.00
Fractional coordinates of all 4 atoms:
Cr  0.000  0.000  0.566
Fe  0.500  0.500  0.687
Pb  0.000  0.000  0.923
Pb  0.500  0.500  0.324

Results
- calculated formation energy (eV per atom) = 0.460
- E_tot (eV per atom) = -5.92
- V (Å³ per cell) = 83
- ρ (g/cm3) = 10.50

=====

## Fe2MoPd5 (PBE)

Data for an optimized crystal structure of Fe2MoPd5.

Unit cell a=3.860 b=5.503 c=11.048 alpha=90.00 beta=90.00 gamma=90.00
Fractional coordinates of all 16 atoms:
Fe  0.500  0.248  0.376
Fe  0.500  0.752  0.624
Fe  0.500  0.252  0.876
Fe  0.500  0.748  0.124
Mo  0.000  0.000  0.500
Mo  0.000  0.500  0.000
Pd  0.500  0.255  0.121
Pd  0.500  0.745  0.879
Pd  0.500  0.755  0.379
Pd  0.500  0.245  0.621
Pd  0.000  0.995  0.746
Pd  0.000  0.005  0.254
Pd  0.000  0.495  0.754
Pd  0.000  0.505  0.246
Pd  0.000  0.500  0.500
Pd  0.000  0.000  0.000

Results
- calculated formation energy (eV per atom) = -0.026
- E_tot (eV per atom) = -6.74
- V (Å³ per cell) = 235
- ρ (g/cm3) = 10.47

=====

## Np2CdAu6 (PBE)

Data for an optimized crystal structure of Np2CdAu6.

Unit cell a=2.951 b=8.511 c=8.511 alpha=60.03 beta=89.93 gamma=89.93
Fractional coordinates of all 9 atoms:
Np  0.000  0.333  0.333
Np  0.000  0.667  0.667
Cd  0.000  0.000  0.000
Au  0.499  0.669  0.000
Au  0.501  0.000  0.331
Au  0.501  0.331  0.000
Au  0.500  0.669  0.331
Au  0.499  0.000  0.669
Au  0.500  0.331  0.669

Results
- calculated formation energy (eV per atom) = -0.165
- E_tot (eV per atom) = -5.33
- V (Å³ per cell) = 185
- ρ (g/cm3) = 15.86

=====

## ScIn4Br7 (PBE)

Data for an optimized crystal structure of ScIn4Br7.

Unit cell a=5.292 b=7.855 c=11.587 alpha=113.71 beta=103.20 gamma=90.00
Fractional coordinates of all 12 atoms:
Sc  0.000  0.000  0.000
In  0.421  0.481  0.842
In  0.579  0.519  0.158
In  0.313  0.880  0.626
In  0.687  0.120  0.374
Br  0.108  0.318  0.215
Br  0.892  0.682  0.785
Br  0.925  0.188  0.851
Br  0.075  0.812  0.149
Br  0.721  0.773  0.441
Br  0.500  0.000  0.000
Br  0.279  0.227  0.559

Results
- energy relative to the elements, uncorrected (eV/atom) = -0.988
- E_tot (eV per atom) = -3.40
- V (Å³ per cell) = 427
- ρ (g/cm3) = 4.14